[1]
Density functional theory data (PBE) for MgZr2In after structural relaxation.

abc: 5.720 5.720 5.355
angles: 68.39 68.39 33.50
Fractional coordinates of all 4 atoms:
Zr 0.999 0.999 0.060
Zr 0.249 0.249 0.189
Mg 0.755 0.755 0.683
In 0.498 0.498 0.567

Output
The calculation puts the formation energy at -0.151 eV/atom. The value obtained for the density of states at the Fermi level is 2.79 states/eV/cell.



[2]
Density functional theory data (PBE) for Dy2TlI after structural relaxation.

abc: 4.487 4.487 7.705
angles: 73.07 73.07 60.00
Fractional coordinates of all 4 atoms:
Tl 0.000 0.000 0.000
I 0.500 0.500 0.500
Dy 0.737 0.737 0.788
Dy 0.263 0.263 0.212

Output
The uncorrected formation energy comes out at -484 meV per atom. The value obtained for the density of states at the Fermi level is 2.23 states/eV/cell.



[3]
Density functional theory data (PBE) for KLiSb2 after structural relaxation.

abc: 10.452 10.452 10.452
angles: 19.39 19.39 19.39
Fractional coordinates of all 4 atoms:
Li 0.750 0.750 0.750
Sb 0.012 0.012 0.012
Sb 0.488 0.488 0.488
K 0.250 0.250 0.250

Output
The uncorrected formation energy comes out at -172 meV per atom. The value obtained for the density of states at the Fermi level is 4.41 states/eV/cell.



[4]
Density functional theory data (PBE) for BaLi2As after structural relaxation.

abc: 4.596 4.596 10.388
angles: 90.00 90.00 90.00
Fractional coordinates of all 8 atoms:
Li 0.500 0.500 0.500
Li 0.000 0.500 0.101
As 0.500 0.000 0.644
As 0.000 0.500 0.356
Li 0.000 0.000 0.500
Ba 0.000 0.500 0.732
Ba 0.500 0.000 0.268
Li 0.500 0.000 0.899

Output
The calculation puts the formation energy at -0.691 eV/atom. The value obtained for the density of states at the Fermi level is 1.89 states/eV/cell.



[5]
Density functional theory data (PBE) for Li4SnIr after structural relaxation.

abc: 4.452 5.288 8.230
angles: 71.02 90.00 90.00
Fractional coordinates of all 12 atoms:
Ir 0.750 0.124 0.252
Li 0.750 0.182 0.583
Ir 0.250 0.876 0.748
Li 0.750 0.552 0.916
Li 0.250 0.818 0.417
Li 0.250 0.448 0.084
Li 0.750 0.033 0.916
Sn 0.250 0.376 0.747
Sn 0.750 0.624 0.253
Li 0.250 0.967 0.084
Li 0.750 0.734 0.583
Li 0.250 0.266 0.417

Output
The calculation puts the formation energy at -0.287 eV/atom. The value obtained for the density of states at the Fermi level is 3.78 states/eV/cell.



[6]
Density functional theory data (PBE) for LaVC3 after structural relaxation.

abc: 4.387 4.387 4.387
angles: 90.00 90.00 90.00
Fractional coordinates of all 5 atoms:
C 0.500 0.000 0.000
C 0.000 0.000 0.500
La 0.000 0.000 0.000
C 0.000 0.500 0.000
V 0.500 0.500 0.500

Output
The calculation puts the formation energy at 2.843 eV/atom. The value obtained for the density of states at the Fermi level is 8.08 states/eV/cell.



[7]
Density functional theory data (PBE) for BaAlCu2S4 after structural relaxation.

abc: 6.286 6.234 6.234
angles: 80.46 59.72 59.72
Fractional coordinates of all 8 atoms:
S 0.965 0.483 0.159
Cu 0.500 0.338 0.662
Ba 0.000 0.000 0.000
S 0.607 0.517 0.841
S 0.035 0.841 0.517
Cu 0.500 0.662 0.338
S 0.393 0.159 0.483
Al 0.000 0.500 0.500

Output
The uncorrected formation energy comes out at -936 meV per atom. The value obtained for the density of states at the Fermi level is 3.94 states/eV/cell.



[8]
Density functional theory data (PBE) for Li7CaCd2 after structural relaxation.

abc: 3.637 8.324 8.324
angles: 107.25 90.00 90.00
Fractional coordinates of all 10 atoms:
Li 0.500 0.130 0.402
Li 0.000 0.650 0.350
Li 0.500 0.402 0.130
Li 0.500 0.598 0.870
Cd 0.500 0.796 0.204
Li 0.500 0.870 0.598
Ca 0.000 0.000 0.000
Li 0.000 0.350 0.650
Cd 0.500 0.204 0.796
Li 0.500 0.500 0.500

Output
The calculation puts the formation energy at 0.011 eV/atom. The value obtained for the density of states at the Fermi level is 4.69 states/eV/cell.



[9]
Density functional theory data (PBE) for HfTePt2Au after structural relaxation.

abc: 5.013 4.951 5.013
angles: 90.00 90.00 90.00
Fractional coordinates of all 5 atoms:
Pt 0.500 0.000 0.000
Au 0.000 0.000 0.000
Te 0.500 0.500 0.500
Pt 0.000 0.000 0.500
Hf 0.000 0.500 0.000

Output
The uncorrected formation energy comes out at 777 meV per atom. The value obtained for the density of states at the Fermi level is 3.37 states/eV/cell.



[10]
Density functional theory data (PBE) for LiSc2Pb after structural relaxation.

abc: 10.212 10.212 10.212
angles: 18.97 18.97 18.97
Fractional coordinates of all 4 atoms:
Pb 0.750 0.750 0.750
Li 0.250 0.250 0.250
Sc 0.500 0.500 0.500
Sc 0.000 0.000 0.000

Output
The calculation puts the formation energy at 0.026 eV/atom. The value obtained for the density of states at the Fermi level is 4.30 states/eV/cell.



[11]
Density functional theory data (PBE) for Ga2SnIrO after structural relaxation.

abc: 5.424 4.957 5.424
angles: 90.00 90.00 90.00
Fractional coordinates of all 5 atoms:
Ga 0.000 0.000 0.500
Ga 0.500 0.000 0.000
O 0.500 0.500 0.500
Sn 0.000 0.000 0.000
Ir 0.000 0.500 0.000

Output
The uncorrected formation energy comes out at 1287 meV per atom. The value obtained for the density of states at the Fermi level is 3.48 states/eV/cell.



[12]
Density functional theory data (PBE) for Zr2Al5Si after structural relaxation.

abc: 4.089 5.773 11.531
angles: 90.00 90.00 90.00
Fractional coordinates of all 16 atoms:
Si 0.000 0.000 0.500
Al 0.000 0.500 0.500
Al 0.500 0.263 0.371
Al 0.000 0.489 0.750
Zr 0.500 0.765 0.380
Al 0.500 0.763 0.129
Zr 0.500 0.265 0.120
Al 0.500 0.237 0.871
Zr 0.500 0.235 0.620
Zr 0.500 0.735 0.880
Si 0.000 0.500 0.000
Al 0.000 0.011 0.250
Al 0.000 0.989 0.750
Al 0.000 0.000 0.000
Al 0.000 0.511 0.250
Al 0.500 0.737 0.629

Output
The uncorrected formation energy comes out at -406 meV per atom. The value obtained for the density of states at the Fermi level is 7.00 states/eV/cell.